Entry 1:
# PBE Ba2CaTc, optimized geometry
data_Ba2CaTc
_cell_length_a 5.323
_cell_length_b 5.447
_cell_length_c 10.460
_cell_angle_alpha 90.00
_cell_angle_beta 90.00
_cell_angle_gamma 90.00
_symmetry_space_group_name_H-M 'C m m m'
_symmetry_Int_Tables_number 65
_symmetry_space_group_name_Hall '-C 2 2'
loop_
_atom_site_label
_atom_site_type_symbol
_atom_site_fract_x
_atom_site_fract_y
_atom_site_fract_z
_atom_site_occupancy
Ba1 Ba 0.000 0.000 0.185 1
Ca1 Ca 0.000 0.500 0.500 1
Tc1 Tc 0.000 0.500 0.000 1
# - crystal system = orthorhombic
# - DFT formation energy (eV/atom) = 0.6621
# - electronic total energy (eV/atom) = -3.391
# - total magnetization (μB/f.u.) = 0.92


Entry 2:
# PBE BaAc2Eu, optimized geometry
data_BaAc2Eu
_cell_length_a 5.630
_cell_length_b 5.630
_cell_length_c 5.949
_cell_angle_alpha 90.00
_cell_angle_beta 90.00
_cell_angle_gamma 90.00
_symmetry_space_group_name_H-M 'P 4/m m m'
_symmetry_Int_Tables_number 123
_symmetry_space_group_name_Hall '-P 4 2'
loop_
_atom_site_label
_atom_site_type_symbol
_atom_site_fract_x
_atom_site_fract_y
_atom_site_fract_z
_atom_site_occupancy
Ba1 Ba 0.000 0.000 0.000 1
Ac1 Ac 0.000 0.500 0.500 1
Eu1 Eu 0.500 0.500 0.000 1
# - crystal system = tetragonal
# - DFT formation energy (eV/atom) = 0.0948
# - electronic total energy (eV/atom) = -5.009
# - total magnetization (μB/f.u.) = 7.69


Entry 3:
# PBE La4TbDy3, optimized geometry
data_La4TbDy3
_cell_length_a 11.725
_cell_length_b 7.355
_cell_length_c 6.395
_cell_angle_alpha 90.00
_cell_angle_beta 90.00
_cell_angle_gamma 90.00
_symmetry_space_group_name_H-M 'P m n 21'
_symmetry_Int_Tables_number 31
_symmetry_space_group_name_Hall 'P 2ac -2'
loop_
_atom_site_label
_atom_site_type_symbol
_atom_site_fract_x
_atom_site_fract_y
_atom_site_fract_z
_atom_site_occupancy
La1 La 0.000 0.127 0.000 1
La2 La 0.000 0.872 0.506 1
La3 La 0.248 0.127 0.330 1
Tb1 Tb 0.000 0.622 0.003 1
Dy1 Dy 0.000 0.381 0.501 1
Dy2 Dy 0.250 0.379 0.831 1
# - crystal system = orthorhombic
# - DFT formation energy (eV/atom) = 0.0335
# - electronic total energy (eV/atom) = -4.735
# - total magnetization (μB/f.u.) = 0.00


Number 1: N(E_F) 1.42 states/eV/atom. Number 2: N(E_F) 3.12 states/eV/atom. Number 3: N(E_F) 1.72 states/eV/atom.